# La8Y5Sc PBE relaxed
# - Volume: 34.990 Å³/atom
# - Formation enthalpy at 0 K: 156 meV/atom
# - Uncorrected energy: -75.9 eV/cell
data_La8Y5Sc
_chemical_formula_sum 'La8 Y5 Sc1'
_cell_length_a 8.6437
_cell_length_b 8.6842
_cell_length_c 8.6437
_cell_angle_alpha 114.85
_cell_angle_beta 99.42
_cell_angle_gamma 114.34
_space_group_name_H-M_alt 'P 1'
_space_group_IT_number 1
_space_group_name_Hall 'P 1'
loop_
_atom_site_label
_atom_site_fract_x
_atom_site_fract_y
_atom_site_fract_z
_atom_site_occupancy
La1 0.6756 0.3363 0.9134 1
La2 0.0642 0.7596 0.5222 1
La3 0.2461 0.3395 0.4749 1
La4 0.9226 0.1251 0.6609 1
La5 0.5358 0.8749 0.7975 1
La6 0.5771 0.6637 0.3393 1
La7 0.7627 0.2404 0.3046 1
La8 0.1354 0.6605 0.9066 1
Y1 0.9078 0.8669 0.1595 1
Y2 0.4020 0.0000 0.4020 1
Y3 0.0997 0.4225 0.1407 1
Y4 0.2925 0.1331 0.0409 1
Y5 0.7182 0.5775 0.6773 1
Sc1 0.4101 0.5000 0.9102 1

=====

# La4YSc PBE relaxed
# - Volume: 33.957 Å³/atom
# - Formation enthalpy at 0 K: 104 meV/atom
# - Uncorrected energy: -31.9 eV/cell
# - Polymorph energy (0 for the lowest one): 54 meV per atom
data_La4YSc
_chemical_formula_sum 'La4 Y1 Sc1'
_cell_length_a 5.9016
_cell_length_b 6.4971
_cell_length_c 6.9543
_cell_angle_alpha 93.79
_cell_angle_beta 64.89
_cell_angle_gamma 62.99
_space_group_name_H-M_alt 'P 1'
_space_group_IT_number 1
_space_group_name_Hall 'P 1'
loop_
_atom_site_label
_atom_site_fract_x
_atom_site_fract_y
_atom_site_fract_z
_atom_site_occupancy
La1 0.1383 0.1724 0.5511 1
La2 0.8617 0.8276 0.4489 1
La3 0.6535 0.6941 0.9988 1
La4 0.3465 0.3059 0.0012 1
Y1 0.5000 0.5000 0.5000 1
Sc1 0.0000 0.0000 0.0000 1